An optimized crystal structure of SiRh3I, computed with PBE.

Cell and atoms, written as extended XYZ:
```
5
Lattice="-4.002 1.068 -1.825 -2.034 -3.011 2.699 -0.577 3.206 3.142" Properties=species:S:1:pos:R:3 pbc="T T T"
I -3.306 0.632 2.008
Si 0.000 0.000 0.000
Rh -2.001 0.534 -0.912
Rh -1.017 -1.505 1.349
Rh -0.289 1.603 1.571
```

Computed properties:
As for the crystal system: cubic. Its total magnetization is 0.24 μB/atom. As for the energy above the most stable polymorph in this dataset: 0 meV per atom. The space group is Pm-3m, No. 221. The formation energy from raw total energies is 376 meV/atom. Its total energy is -27.1 eV for the cell shown.

An optimized crystal structure of Hg4Pb, computed with PBE.

Cell and atoms, written as extended XYZ:
```
5
Lattice="-3.629 3.629 3.629 3.629 -3.629 3.629 3.629 3.629 -3.629" Properties=species:S:1:pos:R:3 pbc="T T T"
Hg -1.814 1.814 1.814
Hg 1.814 1.814 1.814
Hg 1.814 -1.814 1.814
Hg 1.814 1.814 -1.814
Pb 0.000 0.000 0.000
```

Computed properties:
As for the crystal system: cubic. The formation energy is 106 meV per atom. Its total magnetization is 0.00 μB/atom. As for the energy above the most stable polymorph in this dataset: 75 meV per atom. The space group is Im-3m, No. 229. Its total energy is -4.4 eV for the cell shown.

An optimized crystal structure of LaY2Fe, computed with PBE.

Cell and atoms, written as extended XYZ:
```
4
Lattice="6.020 -0.136 0.000 2.560 5.450 0.000 -4.290 -2.657 3.286" Properties=species:S:1:pos:R:3 pbc="T T T"
Y 4.290 2.657 0.000
Y 0.000 0.000 0.000
La 3.010 -0.068 1.643
Fe 1.280 2.725 1.643
```

Computed properties:
As for the crystal system: tetragonal. The formation energy is 381 meV per atom. Its total magnetization is 0.52 μB/atom. As for the energy above the most stable polymorph in this dataset: 285 meV per atom. The space group is I4/mmm, No. 139. Its total energy is -24.8 eV for the cell shown.

An optimized crystal structure of Rb4Ac3CeO8, computed with PBE.

Cell and atoms, written as extended XYZ:
```
16
Lattice="7.688 0.000 0.000 0.000 7.995 0.208 -3.844 -3.839 5.440" Properties=species:S:1:pos:R:3 pbc="T T T"
Rb -1.922 -1.919 2.720
Rb 0.000 0.000 0.000
Rb 1.922 -1.919 2.720
Rb 3.844 0.000 0.000
Ac 1.922 2.078 2.824
Ac -1.922 2.078 2.824
Ac 3.844 3.997 0.104
Ce 0.000 3.997 0.104
O 0.000 3.747 2.546
O 3.844 0.409 3.102
O 0.000 0.437 3.024
O -1.991 1.758 5.363
O 5.835 2.398 0.284
O 1.853 2.398 0.284
O 1.991 1.758 5.363
O 3.844 3.719 2.624
```

Computed properties:
As for the crystal system: trigonal. Its total magnetization is 0.06 μB/atom. The space group is R-3m, No. 166. The formation energy from raw total energies is -2521 meV/atom. Its total energy is -102.1 eV for the cell shown.

An optimized crystal structure of KCaAs2, computed with PBE.

Cell and atoms, written as extended XYZ:
```
4
Lattice="-2.084 -3.773 -3.017 -1.758 -4.449 2.190 -5.167 -0.972 0.198" Properties=species:S:1:pos:R:3 pbc="T T T"
As -2.252 -2.298 -0.157
As 0.000 0.000 0.000
K -6.757 -6.895 -0.472
Ca -4.505 -4.597 -0.315
```

Computed properties:
As for the crystal system: cubic. The formation energy is -101 meV per atom. Its total magnetization is 0.00 μB/atom. As for the energy above the most stable polymorph in this dataset: 627 meV per atom. The space group is F-43m, No. 216. Its total energy is -12.8 eV for the cell shown.

An optimized crystal structure of GaGeSN2, computed with PBE.

Cell and atoms, written as extended XYZ:
```
5
Lattice="-1.003 3.705 0.536 -2.520 -1.079 2.739 3.703 0.482 3.598" Properties=species:S:1:pos:R:3 pbc="T T T"
N -1.260 -0.539 1.369
N -0.502 1.852 0.268
Ge 0.090 1.554 3.437
Ga 0.000 0.000 0.000
S 1.852 0.241 1.799
```

Computed properties:
As for the crystal system: tetragonal. Its total magnetization is 0.47 μB/atom. As for the energy above the most stable polymorph in this dataset: 175 meV per atom. The space group is P4/mmm, No. 123. The formation energy from raw total energies is 1113 meV/atom. Its total energy is -22.9 eV for the cell shown.

An optimized crystal structure of Pm2Pr3Pb3, computed with PBE.

Cell and atoms, written as extended XYZ:
```
8
Lattice="-3.301 -3.101 0.441 -0.249 -0.449 -5.032 9.327 -6.216 2.636" Properties=species:S:1:pos:R:3 pbc="T T T"
Pr 0.036 -3.692 -2.214
Pr 5.741 -6.075 0.258
Pr -1.651 -1.551 0.220
Pm 3.748 -4.323 -2.342
Pm 2.028 -5.444 0.386
Pb 2.001 -2.118 0.090
Pb -0.125 -0.225 -2.516
Pb 3.775 -7.649 -2.046
```

Computed properties:
As for the crystal system: orthorhombic. The formation energy is -415 meV per atom. Its total magnetization is 0.00 μB/atom. The space group is Immm, No. 71. Its total energy is -38.3 eV for the cell shown.

An optimized crystal structure of TiSiS2, computed with PBE.

Cell and atoms, written as extended XYZ:
```
8
Lattice="-4.891 2.148 -1.557 -2.483 -4.856 1.102 -4.624 0.317 5.022" Properties=species:S:1:pos:R:3 pbc="T T T"
S -3.284 -2.702 1.761
S -6.216 -0.743 3.588
S -4.558 0.830 0.409
S -9.938 -2.166 3.377
Si -5.397 -2.946 2.948
Si -3.687 -1.354 -0.227
Ti -6.601 0.555 1.619
Ti 0.000 0.000 0.000
```

Computed properties:
As for the crystal system: tetragonal. Its total magnetization is 0.39 μB/atom. The space group is I-42d, No. 122. The formation energy from raw total energies is -269 meV/atom. Its total energy is -45.3 eV for the cell shown.